Material: NiP2H24C4O14
Method: DFT, PBE+U
State: optimized geometry

Geometry as extended XYZ:
```
90
Lattice="7.191 0.000 0.000 0.000 9.843 -0.032 0.000 -4.499 11.886" Properties=species:S:1:pos:R:3 pbc="T T T"
Ni 0.000 2.672 5.927
Ni 3.595 -2.250 5.943
P 3.452 3.513 2.918
P 3.739 1.831 8.936
P 7.047 -3.090 8.952
P 0.144 8.434 2.903
H 1.895 6.369 1.702
H 1.997 2.036 0.046
H 4.377 -1.031 3.622
H 2.203 3.609 7.120
H 1.959 -0.106 6.218
H 4.815 -0.363 7.398
H 5.193 3.307 11.809
H 6.409 3.891 3.606
H 4.752 -2.668 10.651
H 6.228 0.260 0.854
H 0.782 1.453 8.249
H 4.417 6.209 2.316
H 1.264 6.741 4.859
H 0.963 5.083 11.001
H 2.774 -0.865 9.539
H 2.438 8.012 1.204
H 4.440 6.243 8.145
H 0.844 4.021 3.694
H 2.376 5.706 4.456
H 1.166 -0.312 10.092
H 1.701 1.448 1.718
H 5.926 -1.397 6.996
H 5.554 0.528 5.652
H 1.157 3.090 1.219
H 6.034 2.253 10.635
H 2.331 1.819 4.875
H 4.860 3.524 6.980
H 0.821 4.056 9.523
H 4.558 5.182 0.838
H 2.633 0.162 11.016
H 5.798 6.656 4.719
H 6.346 1.322 8.160
H 1.392 -1.313 7.136
H 2.430 4.610 10.076
H 1.220 0.785 4.472
H 4.988 1.735 4.734
H 6.025 5.655 1.763
H 2.814 6.374 8.233
H 5.490 3.896 10.137
H 1.598 6.958 0.030
H 5.593 -1.614 11.824
H 5.232 5.450 5.636
H 1.637 4.815 6.203
H 6.369 1.288 2.332
H 2.751 -0.900 3.710
H 4.761 0.734 1.778
H 5.296 -1.025 10.153
H 5.971 4.559 7.383
C 1.938 2.326 1.100
C 1.370 4.876 10.002
C 2.225 -0.046 10.018
C 5.533 -1.904 10.770
C 1.658 7.247 1.085
C 4.966 5.389 1.837
C 5.820 0.468 1.853
C 5.253 3.018 10.754
O 2.298 1.145 9.190
O 5.978 5.707 8.669
O 3.567 -1.320 4.097
O 0.058 -2.030 7.899
O 1.388 3.987 6.688
O 1.297 6.066 9.175
O 1.528 1.345 5.243
O 3.653 2.452 3.972
O 6.826 -2.444 10.416
O 4.893 4.199 2.664
O 3.960 2.477 10.400
O 7.163 1.742 7.773
O 5.123 -0.923 6.628
O 4.983 6.278 5.150
O 2.207 -0.934 6.704
O 0.028 3.601 4.081
O 4.808 0.785 8.685
O 1.213 -0.363 3.185
O 7.133 7.374 3.956
O 0.364 7.788 1.439
O 5.893 -0.723 2.680
O 3.537 2.891 7.883
O 2.383 4.558 3.169
O 5.663 3.999 6.612
O 3.231 2.866 1.454
O 2.067 6.266 5.227
O 5.803 1.356 5.166
O 3.624 6.664 7.758
```

space group	No. 14
uncorrected energy	-5.400	eV/atom
crystal system	monoclinic
spin magnetization	2.0	μB per formula unit
ρ	1.6	Mg/m³